# 1
Computed, not measured: BaAs2Ir after structural relaxation at the GGA-PBEsol level of DFT.

Geometry as CIF:
```
data_BaAs2Ir
_cell_length_a 4.2186
_cell_length_b 4.2186
_cell_length_c 17.3478
_cell_angle_alpha 90.00
_cell_angle_beta 90.00
_cell_angle_gamma 120.00
_space_group_name_H-M_alt 'R -3 m'
_space_group_IT_number 166
_space_group_name_Hall '-R 3 2"'
loop_
_atom_site_label
_atom_site_fract_x
_atom_site_fract_y
_atom_site_fract_z
Ba1 0.0000 0.0000 0.0000
As1 0.0000 0.0000 0.2116
Ir1 0.0000 0.0000 0.5000
```

Calculated values
formation enthalpy at 0 K: -0.6867 eV per atom

=====

# 2
Computed, not measured: MgIrSe2 after structural relaxation at the GGA-PBEsol level of DFT.

Geometry as CIF:
```
data_MgIrSe2
_cell_length_a 3.625
_cell_length_b 4.278
_cell_length_c 11.118
_cell_angle_alpha 90.00
_cell_angle_beta 90.00
_cell_angle_gamma 90.00
_space_group_name_H-M_alt 'I m m m'
_space_group_IT_number 71
_space_group_name_Hall '-I 2 2'
loop_
_atom_site_label
_atom_site_fract_x
_atom_site_fract_y
_atom_site_fract_z
Mg1 0.000 0.000 0.000
Ir1 0.000 0.000 0.500
Se1 0.000 0.500 0.150
```

Calculated values
raw formation energy: -0.426 eV/atom

=====

# 3
Computed, not measured: BaOsBr2 after structural relaxation at the GGA-PBEsol level of DFT.

Geometry as CIF:
```
data_BaOsBr2
_cell_length_a 3.9685
_cell_length_b 3.9685
_cell_length_c 26.1085
_cell_angle_alpha 90.00
_cell_angle_beta 90.00
_cell_angle_gamma 120.00
_space_group_name_H-M_alt 'R -3 m'
_space_group_IT_number 166
_space_group_name_Hall '-R 3 2"'
loop_
_atom_site_label
_atom_site_fract_x
_atom_site_fract_y
_atom_site_fract_z
Ba1 0.0000 0.0000 0.0000
Os1 0.0000 0.0000 0.5000
Br1 0.0000 0.0000 0.1232
```

Calculated values
raw formation energy: 0.345 eV/atom
polymorph energy (0 for the lowest one): 36.2 kJ/mol of atoms

=====

# 4
Computed, not measured: K4FeP after structural relaxation at the GGA-PBEsol level of DFT.

Geometry as CIF:
```
data_K4FeP
_cell_length_a 9.157
_cell_length_b 9.157
_cell_length_c 9.157
_cell_angle_alpha 90.00
_cell_angle_beta 90.00
_cell_angle_gamma 90.00
_space_group_name_H-M_alt 'F -4 3 m'
_space_group_IT_number 216
_space_group_name_Hall 'F -4 2 3'
loop_
_atom_site_label
_atom_site_fract_x
_atom_site_fract_y
_atom_site_fract_z
K1 0.123 0.123 0.123
Fe1 0.000 0.000 0.500
P1 0.250 0.250 0.750
```

Calculated values
formation enthalpy at 0 K: 1.0034 eV per atom

=====

# 5
Computed, not measured: LaSc2Rh after structural relaxation at the GGA-PBEsol level of DFT.

Geometry as CIF:
```
data_LaSc2Rh
_cell_length_a 3.854
_cell_length_b 4.517
_cell_length_c 4.972
_cell_angle_alpha 90.00
_cell_angle_beta 90.00
_cell_angle_gamma 90.00
_space_group_name_H-M_alt 'P m m m'
_space_group_IT_number 47
_space_group_name_Hall '-P 2 2'
loop_
_atom_site_label
_atom_site_fract_x
_atom_site_fract_y
_atom_site_fract_z
La1 0.000 0.000 0.000
Sc1 0.000 0.500 0.500
Sc2 0.500 0.000 0.500
Rh1 0.500 0.500 0.000
```

Calculated values
formation enthalpy at 0 K: -0.1966 eV per atom

=====

# 6
Computed, not measured: Hg4OF6 after structural relaxation at the GGA-PBEsol level of DFT.

Geometry as CIF:
```
data_Hg4OF6
_cell_length_a 7.7649
_cell_length_b 7.7649
_cell_length_c 6.0395
_cell_angle_alpha 90.00
_cell_angle_beta 90.00
_cell_angle_gamma 120.00
_space_group_name_H-M_alt 'P 63 m c'
_space_group_IT_number 186
_space_group_name_Hall 'P 6c -2c'
loop_
_atom_site_label
_atom_site_fract_x
_atom_site_fract_y
_atom_site_fract_z
Hg1 0.1821 0.3643 0.0000
Hg2 0.3333 0.6667 0.4764
O1 0.3333 0.6667 0.1268
F1 0.0769 0.5385 0.7264
F2 0.1273 0.2546 0.3942
```

Calculated values
raw formation energy: -1.221 eV/atom

=====

| no. | total energy (eV/f.u.) |
| --- | --- |
| 1 | -24.9 |
| 2 | -20.9 |
| 3 | -16.7 |
| 4 | -13.3 |
| 5 | -27.5 |
| 6 | -32.5 |